(1)
AcEr3Ag2: optimized geometry, PBE.

Fermi-level density of states = 0.891 states/eV per atom
formation enthalpy at 0 K = -0.181 eV/atom

Unit cell a=3.6500 b=3.6500 c=12.6041 alpha=90.00 beta=90.00 gamma=90.00
With the nearest neighbours (Å) after each atom.
Atoms (fractional coordinates):
Ag: 0.5000 0.5000 0.8566  8 Er 3.11-3.15
Ag: 0.5000 0.5000 0.1434  8 Er 3.11-3.15
Ac: 0.5000 0.5000 0.5000  4 Ac 3.65, 8 Er 3.78
Er: 0.0000 0.0000 0.2807  4 Ag 3.11
Er: 0.0000 0.0000 0.7193  4 Ag 3.11
Er: 0.0000 0.0000 0.0000  8 Ag 3.15

(2)
Ac4ErAg5: optimized geometry, PBE.

Fermi-level density of states = 0.628 states/eV per atom
formation enthalpy at 0 K = -0.261 eV/atom

Unit cell a=3.8682 b=3.8682 c=19.6862 alpha=90.00 beta=90.00 gamma=90.00
With the nearest neighbours (Å) after each atom.
Atoms (fractional coordinates):
Ag: 0.5000 0.5000 0.2931  8 Ac 3.41
Ag: 0.5000 0.5000 0.9201  1 Ag 3.14, 4 Er 3.15, 4 Ac 3.49
Ag: 0.5000 0.5000 0.7069  8 Ac 3.41
Ag: 0.5000 0.5000 0.5000  8 Ac 3.41
Ag: 0.5000 0.5000 0.0799  1 Ag 3.14, 4 Er 3.15, 4 Ac 3.49
Ac: 0.0000 0.0000 0.3968  8 Ag 3.41
Ac: 0.0000 0.0000 0.8103  8 Ag 3.41-3.49, 1 Er 3.73
Ac: 0.0000 0.0000 0.1897  8 Ag 3.41-3.49, 1 Er 3.73
Ac: 0.0000 0.0000 0.6032  8 Ag 3.41
Er: 0.0000 0.0000 0.0000  8 Ag 3.15

(3)
AcErAg: optimized geometry, PBE.

Fermi-level density of states = 1.156 states/eV per atom
energy above the lowest structure with this stoichiometry = 0.029 eV per atom
formation enthalpy at 0 K = -0.142 eV/atom

Unit cell a=3.7823 b=3.7823 c=7.0075 alpha=105.66 beta=105.66 gamma=90.00
With the nearest neighbours (Å) after each atom.
Atoms (fractional coordinates):
Ag: 0.6875 0.6875 0.3750  4 Er 3.06
Ac: 0.0104 0.0104 0.0208  4 Ag 3.52, 5 Er 3.78-3.80, 4 Ac 3.78
Er: 0.3021 0.3021 0.6042  4 Ag 3.06